Entry 1:
Below is PmYIrPd after structural relaxation, with properties calculated at the GGA-PBE level.

Unit cell a=4.971 b=4.971 c=4.971 alpha=60.00 beta=60.00 gamma=60.00
Atoms (fractional coordinates):
Ir 0.000 0.000 0.000
Pm 0.250 0.250 0.250
Y 0.750 0.750 0.750
Pd 0.500 0.500 0.500

=====

Entry 2:
Below is PmZnIrPd after structural relaxation, with properties calculated at the GGA-PBE level.

Unit cell a=4.712 b=4.712 c=4.712 alpha=60.00 beta=60.00 gamma=60.00
Atoms (fractional coordinates):
Pd 0.750 0.750 0.750
Pm 0.500 0.500 0.500
Zn 0.000 0.000 0.000
Ir 0.250 0.250 0.250

=====

Entry 3:
Below is Pr12IrPd6 after structural relaxation, with properties calculated at the GGA-PBE level.

Unit cell a=8.540 b=8.540 c=8.540 alpha=98.19 beta=98.19 gamma=98.19
Atoms (fractional coordinates):
Pr 0.818 0.583 0.422
Pr 0.923 0.043 0.679
Pr 0.077 0.957 0.321
Pr 0.578 0.182 0.417
Pd 0.870 0.381 0.689
Pr 0.182 0.417 0.578
Pd 0.311 0.130 0.619
Pr 0.417 0.578 0.182
Pr 0.957 0.321 0.077
Pd 0.381 0.689 0.870
Ir 0.000 0.000 0.000
Pd 0.689 0.870 0.381
Pr 0.043 0.679 0.923
Pr 0.422 0.818 0.583
Pr 0.321 0.077 0.957
Pr 0.583 0.422 0.818
Pd 0.130 0.619 0.311
Pd 0.619 0.311 0.130
Pr 0.679 0.923 0.043

=====

Entry 4:
Below is Pr5Ir2Pd after structural relaxation, with properties calculated at the GGA-PBE level.

E above lowest polymorph = 0 meV/atom

Unit cell a=7.932 b=7.932 c=8.918 alpha=116.41 beta=116.41 gamma=90.00
Atoms (fractional coordinates):
Pr 0.972 0.472 0.275
Pr 0.528 0.697 0.725
Pr 0.197 0.028 0.725
Ir 0.865 0.635 0.000
Ir 0.135 0.365 0.000
Pr 0.500 0.500 0.000
Pr 0.472 0.303 0.275
Pr 0.803 0.972 0.275
Pd 0.250 0.250 0.500
Pr 0.000 0.000 0.000
Pr 0.028 0.528 0.725
Ir 0.635 0.135 0.000
Pr 0.697 0.197 0.725
Pd 0.750 0.750 0.500
Ir 0.365 0.865 0.000
Pr 0.303 0.803 0.275

=====

Q: Which formation enthalpy at 0 K values were calculated for the entries above? A: -0.80; -0.46; -0.46; -0.57, in eV/atom.